No. 1
VASP calculation (PBE-GGA) on a geometry-optimized Sr2FeRe structure.

Cell and atoms, written as POSCAR:
```
Sr2FeRe
1.0
5.594 -0.150 0.000
1.853 5.281 0.000
-3.724 -2.565 3.297
Re Fe Sr
1 1 2
Cartesian
2.797 -0.075 1.649
0.927 2.640 1.649
3.724 2.565 0.000
0.000 0.000 0.000
```

Summary:
Formation enthalpy at 0 K: 1260 meV/atom
Symmetry: I4/mmm (139)
Distance to the lowest polymorph of the same formula: 919 meV/atom

No. 2
VASP calculation (PBE-GGA) on a geometry-optimized SrFeRe3 structure.

Cell and atoms, written as POSCAR:
```
SrFeRe3
1.0
4.586 0.000 0.000
0.000 4.586 0.000
0.000 0.000 4.586
Re Fe Sr
3 1 1
Cartesian
0.000 0.000 2.293
2.293 0.000 0.000
0.000 2.293 0.000
0.000 0.000 0.000
2.293 2.293 2.293
```

Summary:
Formation enthalpy at 0 K: 1393 meV/atom
Symmetry: Pm-3m (221)
Distance to the lowest polymorph of the same formula: 0 meV/atom

No. 3
VASP calculation (PBE-GGA) on a geometry-optimized SrFeRe2 structure.

Cell and atoms, written as POSCAR:
```
SrFeRe2
1.0
-0.488 -4.972 -0.721
2.681 -0.323 0.411
-0.230 -0.711 5.065
Sr Fe Re
1 1 2
Cartesian
0.369 -2.745 1.009
1.594 -3.262 3.747
2.293 -1.013 5.437
1.383 -0.538 2.777
```

Summary:
Formation enthalpy at 0 K: 1017 meV/atom
Symmetry: P2/m (10)
Distance to the lowest polymorph of the same formula: 432 meV/atom